(1)
A relaxed structure of LiZnCr. Source: Alexandria, functional PBE.

ΔE to the lowest computed polymorph, meV per atom: 112

abc: 4.657 2.677 6.958
angles: 90.00 108.19 90.00
Space group P2 (No. 3)
Unique sites:
Li 0.000 0.000 0.000
Li 0.500 0.497 0.000
Zn 0.308 0.503 0.324
Cr 0.161 0.003 0.628

***

(2)
A relaxed structure of Pa2Ni3As2. Source: Alexandria, functional PBE.

E, eV per atom: -7.021

abc: 7.935 7.935 7.935
angles: 90.00 90.00 90.00
Space group I2_13 (No. 199)
Unique sites:
Pa 0.238 0.262 0.738
Ni 0.000 0.250 0.034
As 0.036 0.464 0.536

***

(3)
A relaxed structure of Ba2LaTc. Source: Alexandria, functional PBE.

ΔE to the lowest computed polymorph, meV per atom: 360

abc: 7.953 7.953 7.953
angles: 90.00 90.00 90.00
Space group F-43m (No. 216)
Unique sites:
Ba 0.000 0.000 0.000
Ba 0.250 0.250 0.250
La 0.000 0.000 0.500
Tc 0.250 0.250 0.750

***

(4)
A relaxed structure of Hf2Co5Ge3. Source: Alexandria, functional PBE.

E, eV per atom: -7.337

abc: 3.872 22.797 6.256
angles: 90.00 90.00 90.00
Space group Cmc2_1 (No. 36)
Unique sites:
Hf 0.000 0.016 0.000
Hf 0.000 0.325 0.984
Co 0.000 0.103 0.641
Co 0.000 0.203 0.772
Co 0.000 0.212 0.171
Co 0.000 0.373 0.483
Co 0.000 0.445 0.838
Ge 0.000 0.113 0.245
Ge 0.000 0.269 0.475
Ge 0.000 0.451 0.217

***

(5)
A relaxed structure of KAcTl2Cl6. Source: Alexandria, functional PBE.

Energy relative to the elements, uncorrected, meV per atom: -1784

abc: 7.746 8.312 13.311
angles: 90.00 123.05 90.00
Space group P2_1/c (No. 14)
Unique sites:
K 0.000 0.000 0.000
Ac 0.500 0.000 0.500
Tl 0.209 0.064 0.730
Cl 0.142 0.173 0.455
Cl 0.239 0.717 0.414
Cl 0.399 0.070 0.261

***

(6)
A relaxed structure of Cs3PtAu. Source: Alexandria, functional PBE.

ΔE to the lowest computed polymorph, meV per atom: 79

abc: 6.572 6.572 6.572
angles: 90.00 90.00 90.00
Space group Pm-3m (No. 221)
Unique sites:
Cs 0.000 0.000 0.500
Pt 0.000 0.000 0.000
Au 0.500 0.500 0.500

***

(7)
A relaxed structure of Li2PrPdO4. Source: Alexandria, functional PBE.

Energy relative to the elements, uncorrected, meV per atom: -1637

abc: 5.483 5.483 6.317
angles: 90.00 90.00 90.00
Space group I-42m (No. 121)
Unique sites:
Li 0.000 0.500 0.250
Pr 0.000 0.000 0.000
Pd 0.000 0.000 0.500
O 0.227 0.227 0.313

***

(8)
A relaxed structure of CaNbW3. Source: Alexandria, functional PBE.

ΔE to the lowest computed polymorph, meV per atom: 0

abc: 4.880 4.880 4.880
angles: 90.00 90.00 90.00
Space group Pm-3m (No. 221)
Unique sites:
Ca 0.000 0.000 0.000
Nb 0.500 0.500 0.500
W 0.000 0.500 0.500

***

(9)
A relaxed structure of Er2LuZn. Source: Alexandria, functional PBE.

ΔE to the lowest computed polymorph, meV per atom: 189

abc: 7.431 7.431 7.431
angles: 90.00 90.00 90.00
Space group Fm-3m (No. 225)
Unique sites:
Er 0.250 0.250 0.250
Lu 0.000 0.000 0.000
Zn 0.000 0.000 0.500

***

(10)
A relaxed structure of MnW. Source: Alexandria, functional PBE.

E, eV per atom: -10.297

abc: 2.748 4.402 4.818
angles: 90.00 90.00 90.00
Space group Immm (No. 71)
Unique sites:
Mn 0.000 0.000 0.000
W 0.000 0.000 0.500

***

(11)
A relaxed structure of RbLaO2F. Source: Alexandria, functional PBE.

Energy relative to the elements, uncorrected, meV per atom: -1175

abc: 4.641 4.641 4.569
angles: 90.00 90.00 90.00
Space group P4/mmm (No. 123)
Unique sites:
Rb 0.000 0.000 0.000
La 0.500 0.500 0.500
O 0.000 0.500 0.000
F 0.000 0.000 0.500

***

(12)
A relaxed structure of BeAg2BiO4. Source: Alexandria, functional PBE.

Energy relative to the elements, uncorrected, meV per atom: -940

abc: 5.131 5.131 8.710
angles: 90.00 90.00 90.00
Space group I-4 (No. 82)
Unique sites:
Be 0.000 0.000 0.000
Ag 0.000 0.000 0.500
Ag 0.000 0.500 0.250
Bi 0.000 0.500 0.750
O 0.178 0.205 0.896

***

(13)
A relaxed structure of TiReRu2Au. Source: Alexandria, functional PBE.

E, eV per atom: -6.207

abc: 4.794 4.794 4.607
angles: 90.00 90.00 90.00
Space group P4/mmm (No. 123)
Unique sites:
Ti 0.000 0.000 0.000
Re 0.500 0.500 0.000
Ru 0.000 0.500 0.500
Au 0.000 0.000 0.500